[1]
Nd2Tl2Zn | PBE-GGA | relaxed

Lattice parameters (Å, degrees): 4.7655 6.2240 10.3653 88.15 76.71 67.49
Fractional coordinates of all 10 atoms:
Zn 0.6090 0.1131 0.6688
Tl 0.9144 0.7362 0.4350
Nd 0.0811 0.7393 0.0984
Nd 0.9189 0.2607 0.9016
Nd 0.6826 0.2976 0.3372
Tl 0.3486 0.1809 0.1218
Nd 0.3174 0.7024 0.6628
Zn 0.3910 0.8869 0.3312
Tl 0.6514 0.8191 0.8782
Tl 0.0856 0.2638 0.5650

Values from the calculation:
SG: C2/m, No. 12

=====

[2]
Nd7Tl2Zn2 | PBE-GGA | relaxed

Lattice parameters (Å, degrees): 6.9357 7.8639 6.9357 90.00 110.51 90.00
Fractional coordinates of all 11 atoms:
Nd 0.0000 0.0000 0.0000
Nd 0.5000 0.2773 0.0000
Zn 0.7161 0.0000 0.2839
Nd 0.5000 0.2349 0.5000
Nd 0.0000 0.2773 0.5000
Tl 0.8150 0.5000 0.8150
Zn 0.2839 0.0000 0.7161
Nd 0.5000 0.7651 0.5000
Tl 0.1850 0.5000 0.1850
Nd 0.5000 0.7227 0.0000
Nd 0.0000 0.7227 0.5000

Values from the calculation:
SG: Cmmm, No. 65

=====

[3]
NdTlZn | PBE-GGA | relaxed

Lattice parameters (Å, degrees): 3.7832 4.7966 4.7966 120.00 90.00 90.00
Fractional coordinates of all 3 atoms:
Tl 0.1663 0.0000 0.0000
Zn 0.1670 0.3333 0.6667
Nd 0.6667 0.6667 0.3333

Values from the calculation:
SG: P-6m2, No. 187

=====

Size of the total moment for every record listed, in sequence, given in Bohr magnetons per cell: 0.00; 0.01; 0.00.
Total DFT energy (no corrections) for every record listed, in sequence, given in eV/atom: -3.438; -3.724; -3.126.
Formation energy from the elements for every record listed, in sequence, given in kJ per mole of atoms: -32; -3; -31.